The following is a PBE calculation of Co2HRh after structural relaxation, from Alexandria via LeMat-Bulk.

The value obtained for the density of states at the Fermi level is 0.53 states/eV/atom. For the volume, the calculation gives 40 Å³/f.u. Its crystal system is tetragonal. The polymorph energy (0 for the lowest one) comes out at 0.222 eV/atom. The calculated density comes out at 9.16 Mg/m³. For the electronic total energy, the calculation gives -95.84 eV for the cell shown.

It has space group I-42d (No. 122), with a = 5.7984 Å, b = 5.7984 Å, c = 4.7858 Å, α = 90.00°, β = 90.00° and γ = 90.00°. The asymmetric unit holds Co at (0.1424, 0.2500, 0.1250), H at (0.0000, 0.0000, 0.0000) and Rh at (0.0000, 0.0000, 0.5000).